Tl2SiPb: relaxed, GGA-PBE.

Calculated values
The volume comes out at 217.5 Å³ per cell. For the formation energy (no corrections), the calculation gives 0.309 eV per atom. The polymorph energy (0 for the lowest one) comes out at 37.1 meV/atom. For the spin magnetization, the calculation gives 0.000 μB per atom.

Cell lengths 12.173, 3.722, 5.266 Å; angles 90.00, 114.26, 90.00 degrees
Positions (direct):
Tl 0.215 0.000 0.216
Tl 0.285 0.500 0.784
Tl 0.715 0.500 0.216
Tl 0.785 0.000 0.784
Si 0.000 0.500 0.000
Si 0.500 0.000 0.000
Pb 0.000 0.000 0.500
Pb 0.500 0.500 0.500